Record 1
This record from the Alexandria database describes crystalline LiTcAg2 at its relaxed geometry. The functional is PBE.

Cell and atoms, written as POSCAR:
```
LiTcAg2
1.0
6.392 0.000 0.000
0.000 6.392 0.000
0.000 0.000 6.392
Li Tc Ag
4 4 8
Direct
0.000 0.000 0.000
0.000 0.500 0.500
0.500 0.000 0.500
0.500 0.500 0.000
0.250 0.250 0.750
0.250 0.750 0.250
0.750 0.250 0.250
0.750 0.750 0.750
0.000 0.000 0.500
0.000 0.500 0.000
0.250 0.250 0.250
0.250 0.750 0.750
0.500 0.000 0.000
0.500 0.500 0.500
0.750 0.250 0.750
0.750 0.750 0.250
```

Computed properties:
Calculated formation energy ... 0.52 eV per atom
Calculated volume ... 261.1 Å³ per cell
Space-group type ... F-43m (216)
Offset from the most stable computed form ... 27.5 kJ/mol of atoms

=====

Record 2
This record from the Alexandria database describes crystalline Tm5SiSe5 at its relaxed geometry. The functional is PBE.

Cell and atoms, written as POSCAR:
```
Tm5SiSe5
1.0
6.398 -2.842 0.000
6.398 2.842 0.000
-2.539 0.000 7.637
Tm Si Se
5 1 5
Direct
0.000 0.000 0.000
0.339 0.339 0.671
0.341 0.341 0.170
0.659 0.659 0.830
0.661 0.661 0.329
0.500 0.500 0.000
0.169 0.169 0.835
0.171 0.171 0.335
0.500 0.500 0.500
0.829 0.829 0.665
0.831 0.831 0.165
```

Computed properties:
Calculated volume ... 277.7 Å³ per cell
Space-group type ... C2/m (12)
Energy relative to the elements, uncorrected ... -1667 meV/atom

=====

Record 3
This record from the Alexandria database describes crystalline SrYCo2 at its relaxed geometry. The functional is PBE.

Cell and atoms, written as POSCAR:
```
SrYCo2
1.0
3.337 0.000 0.000
0.000 3.337 0.000
0.000 0.000 8.223
Sr Y Co
1 1 2
Direct
0.000 0.000 0.000
0.500 0.500 0.410
0.000 0.000 0.635
0.500 0.500 0.725
```

Computed properties:
Calculated formation energy ... 0.28 eV per atom
Calculated volume ... 91.6 Å³ per cell
Space-group type ... P4mm (99)
Offset from the most stable computed form ... 29.8 kJ/mol of atoms

=====

Record 4
This record from the Alexandria database describes crystalline CdCoPt2 at its relaxed geometry. The functional is PBE.

Cell and atoms, written as POSCAR:
```
CdCoPt2
1.0
3.188 0.000 0.000
0.000 3.188 0.000
0.000 0.000 6.257
Cd Co Pt
1 1 2
Direct
0.000 0.000 0.000
0.500 0.500 0.275
0.000 0.000 0.462
0.500 0.500 0.726
```

Computed properties:
Calculated formation energy ... 0.04 eV per atom
Calculated volume ... 63.6 Å³ per cell
Space-group type ... P4mm (99)

=====

Record 5
This record from the Alexandria database describes crystalline PuPa2Pb9 at its relaxed geometry. The functional is PBE.

Cell and atoms, written as POSCAR:
```
PuPa2Pb9
1.0
4.827 0.000 0.000
0.000 4.827 0.000
0.000 0.000 14.491
Pu Pa Pb
1 2 9
Direct
0.000 0.000 0.000
0.000 0.000 0.337
0.000 0.000 0.663
0.000 0.500 0.168
0.000 0.500 0.500
0.000 0.500 0.832
0.500 0.000 0.168
0.500 0.000 0.500
0.500 0.000 0.832
0.500 0.500 0.000
0.500 0.500 0.333
0.500 0.500 0.667
```

Computed properties:
Calculated formation energy ... -0.06 eV per atom
Calculated volume ... 337.7 Å³ per cell
Space-group type ... P4/mmm (123)

=====

Record 6
This record from the Alexandria database describes crystalline NpPaIr at its relaxed geometry. The functional is PBE.

Cell and atoms, written as POSCAR:
```
NpPaIr
1.0
3.601 0.000 0.000
0.000 3.601 0.000
0.000 0.000 9.596
Np Pa Ir
2 2 2
Direct
0.000 0.000 0.000
0.500 0.500 0.500
0.000 0.000 0.319
0.500 0.500 0.819
0.000 0.000 0.663
0.500 0.500 0.163
```

Computed properties:
Calculated formation energy ... -0.29 eV per atom
Calculated volume ... 124.5 Å³ per cell
Space-group type ... I4mm (107)
Offset from the most stable computed form ... 0.0 kJ/mol of atoms

=====

Number 1: total moment 0.62 μB/atom. Number 2: total moment 0.00 μB/atom. Number 3: total moment 0.66 μB/atom. Number 4: total moment 0.55 μB/atom. Number 5: total moment 0.39 μB/atom. Number 6: total moment 1.40 μB/atom.